{
  "formula": "Sm4MgPb2",
  "functional": "GGA-PBE",
  "state": "relaxed",
  "final_energy_ev_per_atom": -4.2022,
  "dos_ef_per_ev_cell": 14.92,
  "cell": [[7.868, 0.000, 0.000], [0.000, 6.564, 0.000], [-3.253, 0.000, 8.349]],
  "species": ["Sm", "Sm", "Sm", "Sm", "Sm", "Sm", "Sm", "Sm", "Mg", "Mg", "Pb", "Pb", "Pb", "Pb"],
  "frac_coords": [[0.007, 0.250, 0.024], [0.170, 0.003, 0.718], [0.170, 0.497, 0.718], [0.324, 0.750, 0.384], [0.676, 0.250, 0.616], [0.830, 0.503, 0.282], [0.830, 0.997, 0.282], [0.993, 0.750, 0.976], [0.448, 0.250, 0.212], [0.552, 0.750, 0.788], [0.227, 0.250, 0.422], [0.423, 0.750, 0.068], [0.577, 0.250, 0.932], [0.773, 0.750, 0.578]]
}